Model A:
An optimized crystal structure of MgBeAs2, computed with GGA-PBE.

Lattice parameters (Å, degrees): 4.4217 4.4217 3.5790 90.00 90.00 103.05
With the nearest neighbours (Å) after each atom.
Fractional coordinates of all 4 atoms:
Mg 0.0000 0.0000 0.0000  2 Be 2.75, 8 As 2.84
Be 0.5000 0.5000 0.0000  2 Mg 2.75, 8 As 2.84
As 0.0000 0.5000 0.5000  2 As 2.75, 4 Be 2.84, 4 Mg 2.84
As 0.5000 0.0000 0.5000  2 As 2.75, 4 Be 2.84, 4 Mg 2.84

Model B:
An optimized crystal structure of MgBeAs2, computed with GGA-PBE.

Lattice parameters (Å, degrees): 4.4601 4.4601 3.8069 101.54 101.54 101.46
With the nearest neighbours (Å) after each atom.
Fractional coordinates of all 4 atoms:
Mg 0.0000 0.0000 0.0000  4 As 2.63, 2 Be 2.82
Be 0.5000 0.5000 0.0000  4 As 2.63, 2 Mg 2.82
As 0.0000 0.5000 0.5000  2 Mg 2.63, 2 Be 2.63, 2 As 2.82
As 0.5000 0.0000 0.5000  2 Mg 2.63, 2 Be 2.63, 2 As 2.82

Decreasing stability: model B, model A

Model A:
An optimized crystal structure of MgBeAs2, computed with GGA-PBE.

Lattice parameters (Å, degrees): 3.8256 3.4957 5.6134 90.00 107.63 90.00
With the nearest neighbours (Å) after each atom.
Fractional coordinates of all 4 atoms:
Mg 0.0000 0.0000 0.0000  4 As 2.84, 2 Be 2.88
Be 0.5000 0.0000 0.5000  4 As 2.38
As 0.2725 0.5000 0.7000  2 Be 2.38, 1 As 2.56
As 0.7275 0.5000 0.3000  2 Be 2.38, 1 As 2.56

Model B:
An optimized crystal structure of MgBeAs2, computed with GGA-PBE.

Lattice parameters (Å, degrees): 4.5827 4.5827 4.5827 60.00 60.00 60.00
With the nearest neighbours (Å) after each atom.
Fractional coordinates of all 4 atoms:
Mg 0.0000 0.0000 0.0000  8 As 2.81
Be 0.5000 0.5000 0.5000  8 As 2.81
As 0.2500 0.2500 0.2500  4 Mg 2.81, 4 Be 2.81
As 0.7500 0.7500 0.7500  4 Be 2.81, 4 Mg 2.81

Decreasing stability: model A, model B

Model A:
An optimized crystal structure of MgBe2As, computed with GGA-PBE.

Lattice parameters (Å, degrees): 4.3492 4.3492 4.3492 60.00 60.00 60.00
With the nearest neighbours (Å) after each atom.
Fractional coordinates of all 4 atoms:
Mg 0.0000 0.0000 0.0000  4 As 2.66, 4 Be 2.66
Be 0.2500 0.2500 0.2500  4 Mg 2.66, 4 Be 2.66
Be 0.5000 0.5000 0.5000  4 As 2.66, 4 Be 2.66
As 0.7500 0.7500 0.7500  4 Be 2.66, 4 Mg 2.66

Model B:
An optimized crystal structure of MgBe2As, computed with GGA-PBE.

Lattice parameters (Å, degrees): 4.8479 4.8479 4.8479 135.23 135.23 65.17
With the nearest neighbours (Å) after each atom.
Fractional coordinates of all 4 atoms:
Mg 0.0000 0.0000 0.0000  8 Be 2.61-2.75, 4 As 2.75
Be 0.5000 0.5000 0.0000  4 Mg 2.61, 4 As 2.75, 4 Be 2.75
Be 0.7500 0.2500 0.5000  4 As 2.61, 4 Be 2.75, 4 Mg 2.75
As 0.2500 0.7500 0.5000  8 Be 2.61-2.75, 4 Mg 2.75

Model C:
An optimized crystal structure of MgBe2As, computed with GGA-PBE.

Lattice parameters (Å, degrees): 4.3559 4.3559 4.3559 60.00 60.00 60.00
With the nearest neighbours (Å) after each atom.
Fractional coordinates of all 4 atoms:
Mg 0.0000 0.0000 0.0000  8 Be 2.67
Be 0.2500 0.2500 0.2500  4 As 2.67, 4 Mg 2.67
Be 0.7500 0.7500 0.7500  4 As 2.67, 4 Mg 2.67
As 0.5000 0.5000 0.5000  8 Be 2.67

Model D:
An optimized crystal structure of MgBe2As, computed with GGA-PBE.

Lattice parameters (Å, degrees): 4.0241 4.0241 4.9216 100.49 100.49 52.15
With the nearest neighbours (Å) after each atom.
Fractional coordinates of all 4 atoms:
Mg 0.0000 0.0000 0.0000  5 Be 2.66-2.87, 3 As 2.75-2.96
Be 0.4661 0.4661 0.3910  3 Be 2.14-2.32, 1 As 2.21
Be 0.7555 0.7555 0.3501  3 Be 2.14-2.32, 2 As 2.25
As 0.2351 0.2351 0.6244  3 Be 2.21-2.25

Decreasing stability: model D, model B, model C, model A

Model A:
An optimized crystal structure of MgBe2As, computed with GGA-PBE.

Lattice parameters (Å, degrees): 3.3083 3.3083 5.2800 90.00 90.00 90.00
With the nearest neighbours (Å) after each atom.
Fractional coordinates of all 4 atoms:
Mg 0.0000 0.0000 0.0000  2 As 2.64, 8 Be 2.82
Be 0.5000 0.5000 0.2979  1 Be 2.13
Be 0.5000 0.5000 0.7021  1 Be 2.13
As 0.0000 0.0000 0.5000  8 Be 2.57, 2 Mg 2.64

Model B:
An optimized crystal structure of MgBe2As, computed with GGA-PBE.

Lattice parameters (Å, degrees): 4.8505 4.8505 4.8505 134.71 134.71 65.98
With the nearest neighbours (Å) after each atom.
Fractional coordinates of all 4 atoms:
Mg 0.0000 0.0000 0.0000  4 As 2.64, 8 Be 2.76
Be 0.2500 0.7500 0.5000  4 Be 2.64, 4 As 2.76, 4 Mg 2.76
Be 0.7500 0.2500 0.5000  4 Be 2.64, 4 As 2.76, 4 Mg 2.76
As 0.5000 0.5000 0.0000  4 Mg 2.64, 8 Be 2.76

Decreasing stability: model A, model B